Material: RbBe3Ru
Method: DFT, PBE
State: optimized geometry

Summary:
**Density of states at the Fermi level**: 1.568 states/eV/f.u.
**DFT formation energy**: 640 meV/atom

Cell lengths 4.5074, 4.5074, 4.5074 Å; angles 90.00, 90.00, 90.00 degrees
With the nearest neighbours (Å) after each atom.
Sites, in units of the cell vectors:
Rb1 0.0000 0.0000 0.0000  12 Be 3.19
Be1 0.0000 0.5000 0.5000  2 Ru 2.25
Be2 0.5000 0.0000 0.5000  2 Ru 2.25
Be3 0.5000 0.5000 0.0000  2 Ru 2.25
Ru1 0.5000 0.5000 0.5000  6 Be 2.25

Material: RbBe2RuS
Method: DFT, PBE
State: optimized geometry

Summary:
**Density of states at the Fermi level**: 3.578 states/eV/f.u.
**Energy relative to the elements, uncorrected**: 1.00 eV/atom

Cell lengths 4.5453, 4.5453, 4.4975 Å; angles 90.00, 90.00, 90.00 degrees
With the nearest neighbours (Å) after each atom.
Sites, in units of the cell vectors:
Rb1 0.0000 0.0000 0.0000  8 Be 3.20, 4 Ru 3.21
Be1 0.0000 0.5000 0.5000  2 S 2.27
Be2 0.5000 0.0000 0.5000  2 S 2.27
Ru1 0.5000 0.5000 0.0000  2 S 2.25
S1 0.5000 0.5000 0.5000  2 Ru 2.25, 4 Be 2.27

Material: RbBe2SbRu
Method: DFT, PBE
State: optimized geometry

Summary:
**Density of states at the Fermi level**: 5.467 states/eV/f.u.
**Energy relative to the elements, uncorrected**: 1.72 eV/atom

Cell lengths 4.6865, 4.6865, 6.6008 Å; angles 90.00, 90.00, 90.00 degrees
With the nearest neighbours (Å) after each atom.
Sites, in units of the cell vectors:
Rb1 0.0000 0.0000 0.0000  2 Sb 3.30, 4 Ru 3.31
Be1 0.0000 0.5000 0.5000  2 Sb 2.34
Be2 0.5000 0.0000 0.5000  2 Sb 2.34
Sb1 0.0000 0.0000 0.5000  4 Be 2.34
Ru1 0.5000 0.5000 0.0000  4 Rb 3.31

Material: RbBeTcRu2
Method: DFT, PBE
State: optimized geometry

Summary:
**Density of states at the Fermi level**: 5.650 states/eV/f.u.
**DFT formation energy**: 3124 meV/atom

Cell lengths 4.7201, 4.7201, 4.3404 Å; angles 90.00, 90.00, 90.00 degrees
With the nearest neighbours (Å) after each atom.
Sites, in units of the cell vectors:
Rb1 0.0000 0.0000 0.0000  2 Be 2.17, 4 Ru 2.36
Be1 0.0000 0.0000 0.5000  2 Rb 2.17
Tc1 0.5000 0.5000 0.5000  8 Ru 3.21, 4 Be 3.34
Ru1 0.0000 0.5000 0.0000  2 Rb 2.36
Ru2 0.5000 0.0000 0.0000  2 Rb 2.36

Material: RbBe2TcRu
Method: DFT, PBE
State: optimized geometry

Summary:
**Density of states at the Fermi level**: 4.766 states/eV/f.u.
**DFT formation energy**: 2996 meV/atom

Cell lengths 4.4911, 4.4911, 4.6372 Å; angles 90.00, 90.00, 90.00 degrees
With the nearest neighbours (Å) after each atom.
Sites, in units of the cell vectors:
Rb1 0.0000 0.0000 0.0000  4 Be 2.25, 2 Ru 2.32
Be1 0.0000 0.5000 0.0000  2 Rb 2.25
Be2 0.5000 0.0000 0.0000  2 Rb 2.25
Tc1 0.5000 0.5000 0.5000  4 Ru 3.18, 8 Be 3.23
Ru1 0.0000 0.0000 0.5000  2 Rb 2.32

Material: Rb3BeS3
Method: DFT, PBE
State: optimized geometry

Summary:
**Energy relative to the elements, uncorrected**: -0.94 eV/atom

Cell lengths 9.2609, 7.3512, 12.6389 Å; angles 90.00, 97.32, 90.00 degrees
With the nearest neighbours (Å) after each atom.
Sites, in units of the cell vectors:
Rb1 0.0556 0.1494 0.1329  6 S 3.36-3.60, 2 Be 3.38
Rb2 0.0556 0.3506 0.6329  6 S 3.36-3.60, 2 Be 3.38
Rb3 0.3258 0.6774 0.7991  5 S 3.27-3.40
Rb4 0.3258 0.8226 0.2991  5 S 3.27-3.40
Rb5 0.3758 0.2091 0.9282  4 S 3.24-3.43
Rb6 0.3758 0.2909 0.4282  4 S 3.24-3.43
Rb7 0.6242 0.7091 0.5718  4 S 3.24-3.43
Rb8 0.6242 0.7909 0.0718  4 S 3.24-3.43
Rb9 0.6742 0.1774 0.7009  5 S 3.27-3.40
Rb10 0.6742 0.3226 0.2009  5 S 3.27-3.40
Rb11 0.9444 0.6494 0.3671  6 S 3.36-3.60, 2 Be 3.38
Rb12 0.9444 0.8506 0.8671  6 S 3.36-3.60, 2 Be 3.38
Be1 0.1368 0.5652 0.0419  4 S 2.13-2.16
Be2 0.1368 0.9348 0.5419  4 S 2.13-2.16
Be3 0.8632 0.0652 0.4581  4 S 2.13-2.16
Be4 0.8632 0.4348 0.9581  4 S 2.13-2.16
S1 0.0667 0.0786 0.3970  2 Be 2.13-2.14
S2 0.0667 0.4214 0.8970  2 Be 2.13-2.14
S3 0.2591 0.6854 0.5350  1 Be 2.16
S4 0.2591 0.8146 0.0350  1 Be 2.16
S5 0.3303 0.0268 0.6393  1 Be 2.15
S6 0.3303 0.4732 0.1393  1 Be 2.15
S7 0.6697 0.5268 0.8607  1 Be 2.15
S8 0.6697 0.9732 0.3607  1 Be 2.15
S9 0.7409 0.1854 0.9650  1 Be 2.16
S10 0.7409 0.3146 0.4650  1 Be 2.16
S11 0.9333 0.5786 0.1030  2 Be 2.13-2.14
S12 0.9333 0.9214 0.6030  2 Be 2.13-2.14

Material: Rb3BeS3
Method: DFT, PBE
State: optimized geometry

Summary:
**Density of states at the Fermi level**: 3.996 states/eV/f.u.
**Energy relative to the elements, uncorrected**: -0.86 eV/atom

Cell lengths 7.0694, 7.0694, 7.0694 Å; angles 111.62, 111.62, 111.62 degrees
With the nearest neighbours (Å) after each atom.
Sites, in units of the cell vectors:
Rb1 0.0326 0.4837 0.4837  4 S 3.28-3.37
Rb2 0.4837 0.0326 0.4837  4 S 3.28-3.37
Rb3 0.4837 0.4837 0.0326  4 S 3.28-3.37
Be1 0.8353 0.8353 0.8353  3 S 2.01
S1 0.6306 0.9281 0.9281  1 Be 2.01
S2 0.9281 0.6306 0.9281  1 Be 2.01
S3 0.9281 0.9281 0.6306  1 Be 2.01

Material: Rb2Be2S
Method: DFT, PBE
State: optimized geometry

Summary:
**Density of states at the Fermi level**: 0.000 states/eV/f.u.
**Energy relative to the elements, uncorrected**: 0.35 eV/atom

Cell lengths 8.4086, 8.4086, 8.4086 Å; angles 134.41, 134.41, 66.45 degrees
With the nearest neighbours (Å) after each atom.
Sites, in units of the cell vectors:
Rb1 0.2500 0.7500 0.5000  4 Be 3.62
Rb2 0.7500 0.2500 0.5000  4 Be 3.62
Be1 0.1374 0.1374 0.0000  1 S 1.93
Be2 0.8626 0.8626 0.0000  1 S 1.93
S1 0.0000 0.0000 0.0000  2 Be 1.93

Material: Rb3Be2S4
Method: DFT, PBE
State: optimized geometry

Summary:
**Density of states at the Fermi level**: 1.640 states/eV/f.u.
**Energy relative to the elements, uncorrected**: -0.97 eV/atom

Cell lengths 10.1144, 10.1144, 6.2742 Å; angles 108.04, 108.04, 59.63 degrees
With the nearest neighbours (Å) after each atom.
Sites, in units of the cell vectors:
Rb1 0.1302 0.8698 0.7500  6 S 3.25-3.42, 2 Be 3.54
Rb2 0.1956 0.4864 0.0911  3 S 3.15-3.26, 1 Be 3.48
Rb3 0.4864 0.1956 0.5911  3 S 3.15-3.26, 1 Be 3.48
Rb4 0.5136 0.8044 0.4089  3 S 3.15-3.26, 1 Be 3.48
Rb5 0.8044 0.5136 0.9089  3 S 3.15-3.26, 1 Be 3.48
Rb6 0.8698 0.1302 0.2500  6 S 3.25-3.42, 2 Be 3.54
Be1 0.0817 0.3502 0.4664  4 S 2.09-2.22
Be2 0.3502 0.0817 0.9664  4 S 2.09-2.22
Be3 0.6498 0.9183 0.0336  4 S 2.09-2.22
Be4 0.9183 0.6498 0.5336  4 S 2.09-2.22
S1 0.1619 0.5189 0.5905  2 Be 2.09-2.10
S2 0.1672 0.1671 0.1674  2 Be 2.22
S3 0.1671 0.1672 0.6674  2 Be 2.22
S4 0.4811 0.8381 0.9095  2 Be 2.09-2.10
S5 0.5189 0.1619 0.0905  2 Be 2.09-2.10
S6 0.8329 0.8328 0.3326  2 Be 2.22
S7 0.8328 0.8329 0.8326  2 Be 2.22
S8 0.8381 0.4811 0.4095  2 Be 2.09-2.10

Material: RbBeS2
Method: DFT, PBE
State: optimized geometry

Summary:
**Density of states at the Fermi level**: 7.559 states/eV/f.u.
**Energy relative to the elements, uncorrected**: -0.45 eV/atom

Cell lengths 7.8444, 7.8444, 7.8444 Å; angles 36.77, 36.77, 36.77 degrees
With the nearest neighbours (Å) after each atom.
Sites, in units of the cell vectors:
Rb1 0.0000 0.0000 0.0000  6 S 3.37
Be1 0.5000 0.5000 0.5000  2 S 1.87
S1 0.4148 0.4148 0.4148  1 Be 1.87
S2 0.5852 0.5852 0.5852  1 Be 1.87

Material: Rb2BeS
Method: DFT, PBE
State: optimized geometry

Summary:
**Density of states at the Fermi level**: 0.000 states/eV/f.u.
**Energy relative to the elements, uncorrected**: 0.11 eV/atom

Cell lengths 5.6891, 5.6891, 5.6891 Å; angles 60.00, 60.00, 60.00 degrees
With the nearest neighbours (Å) after each atom.
Sites, in units of the cell vectors:
Rb1 0.2500 0.2500 0.2500  4 S 3.48, 4 Be 3.48
Rb2 0.7500 0.7500 0.7500  4 Be 3.48, 4 S 3.48
Be1 0.0000 0.0000 0.0000  8 Rb 3.48
S1 0.5000 0.5000 0.5000  8 Rb 3.48

Material: Rb2Be2S
Method: DFT, PBE
State: optimized geometry

Summary:
**Density of states at the Fermi level**: 2.099 states/eV/f.u.
**Energy relative to the elements, uncorrected**: 0.46 eV/atom

Cell lengths 6.4792, 6.4792, 5.5793 Å; angles 90.00, 90.00, 90.00 degrees
With the nearest neighbours (Å) after each atom.
Sites, in units of the cell vectors:
Rb1 0.2061 0.2939 0.0000  6 Be 3.25-3.52, 4 Rb 3.29, 4 S 3.63
Rb2 0.2939 0.7939 0.0000  6 Be 3.25-3.52, 4 Rb 3.29, 4 S 3.63
Rb3 0.7061 0.2061 0.0000  6 Be 3.25-3.52, 4 Rb 3.29, 4 S 3.63
Rb4 0.7939 0.7061 0.0000  6 Be 3.25-3.52, 4 Rb 3.29, 4 S 3.63
Be1 0.1114 0.6114 0.5000  1 Be 2.04
Be2 0.3886 0.1114 0.5000  1 Be 2.04
Be3 0.6114 0.8886 0.5000  1 Be 2.04
Be4 0.8886 0.3886 0.5000  1 Be 2.04
S1 0.0000 0.0000 0.5000  4 Be 2.62
S2 0.5000 0.5000 0.5000  4 Be 2.62

| no. | calculated total energy (Ry per atom) |
| --- | --- |
| 1 | -0.268 |
| 2 | -0.247 |
| 3 | -0.194 |
| 4 | -0.264 |
| 5 | -0.192 |
| 6 | -0.269 |
| 7 | -0.263 |
| 8 | -0.173 |
| 9 | -0.291 |
| 10 | -0.271 |
| 11 | -0.171 |
| 12 | -0.165 |